The following is a GGA-PBE calculation of a relaxed structure of YMg2Ge, from the Alexandria database.

Output
Calculated formation energy, eV/atom: -0.15

Unit cell a=11.419 b=11.419 c=11.419 alpha=158.81 beta=158.81 gamma=30.14
Atoms (fractional coordinates):
Y 0.000 0.000 0.000
Y 0.750 0.250 0.500
Mg 0.138 0.625 0.013
Mg 0.375 0.388 0.513
Mg 0.612 0.125 0.987
Mg 0.875 0.862 0.487
Ge 0.250 0.750 0.500
Ge 0.500 0.500 0.000